DFT (PBE) results for an optimized crystal structure of KIrCl2.

It has space group Immm (No. 71), with a = 3.615 Å, b = 5.914 Å, c = 9.581 Å, α = 90.00°, β = 90.00° and γ = 90.00°. The distinct sites, in fractional coordinates, are K at (0.000, 0.000, 0.000), Ir at (0.000, 0.000, 0.500) and Cl at (0.000, 0.500, 0.158).

The total energy is -3.932 eV/atom. The distance to the lowest polymorph of the same formula is 0.0 kJ/mol of atoms. The raw formation energy is -0.5186 eV per atom. The value obtained for the total magnetization is 0.00 Bohr magnetons per cell.